# 1
An optimized crystal structure of YReTe2. Source: the Alexandria database, functional GGA-PBE.

Computed properties:
Energy above the lowest structure with this stoichiometry: 1.84 eV per formula unit
Raw formation energy: 0.91 eV per formula unit
ρ: 8.59 g/cm³
V: 307.7 Å³/cell

abc: 3.4603 3.4603 29.6696
angles: 90.00 90.00 120.00
Space group R-3m (No. 166, hexagonal axes)
One atom of each set of equivalent atoms:
Y  0.0000  0.0000  0.0000 x3
Re  0.0000  0.0000  0.5000 x3
Te  0.0000  0.0000  0.1035 x6

---

# 2
An optimized crystal structure of Y2ReTe. Source: the Alexandria database, functional GGA-PBE.

Computed properties:
Raw formation energy: -0.90 eV per formula unit
ρ: 8.28 g/cm³
V: 197.2 Å³/cell

abc: 3.5024 4.7822 11.7756
angles: 90.00 90.00 90.00
Space group Imm2 (No. 44)
One atom of each set of equivalent atoms:
Y  0.0000  0.0000  0.0000 x2
Y  0.0000  0.5000  0.2165 x2
Re  0.0000  0.0000  0.5008 x2
Te  0.0000  0.5000  0.8170 x2

---

# 3
An optimized crystal structure of YReTe2. Source: the Alexandria database, functional GGA-PBE.

Computed properties:
Energy above the lowest structure with this stoichiometry: 1.96 eV per formula unit
Raw formation energy: 1.03 eV per formula unit
ρ: 9.74 g/cm³
V: 180.7 Å³/cell

abc: 4.3869 4.3869 9.3912
angles: 90.00 90.00 90.00
Space group I-4m2 (No. 119)
One atom of each set of equivalent atoms:
Y  0.0000  0.0000  0.0000 x2
Re  0.0000  0.5000  0.7500 x2
Te  0.0000  0.0000  0.5000 x2
Te  0.0000  0.5000  0.2500 x2

---

# 4
An optimized crystal structure of YReTe2. Source: the Alexandria database, functional GGA-PBE.

Computed properties:
Energy above the lowest structure with this stoichiometry: 0.87 eV per formula unit
Raw formation energy: -0.07 eV per formula unit
ρ: 8.01 g/cm³
V: 330.0 Å³/cell

abc: 3.4986 3.4986 31.1274
angles: 90.00 90.00 120.00
Space group R3m (No. 160, hexagonal axes)
One atom of each set of equivalent atoms:
Y  0.0000  0.0000  0.0000 x3
Re  0.0000  0.0000  0.7396 x3
Te  0.0000  0.0000  0.2559 x3
Te  0.0000  0.0000  0.4629 x3

---

# 5
An optimized crystal structure of YReTe2. Source: the Alexandria database, functional GGA-PBE.

Computed properties:
Energy above the lowest structure with this stoichiometry: 0.71 eV per formula unit
Raw formation energy: -0.22 eV per formula unit
ρ: 10.08 g/cm³
V: 87.3 Å³/cell

abc: 4.9692 4.9692 3.5369
angles: 90.00 90.00 90.00
Space group P4/mmm (No. 123)
One atom of each set of equivalent atoms:
Y  0.0000  0.0000  0.0000 x1
Re  0.5000  0.5000  0.0000 x1
Te  0.0000  0.5000  0.5000 x2

---

# 6
An optimized crystal structure of YReTe2. Source: the Alexandria database, functional GGA-PBE.

Computed properties:
Energy above the lowest structure with this stoichiometry: 1.63 eV per formula unit
Raw formation energy: 0.70 eV per formula unit
ρ: 7.20 g/cm³
V: 489.2 Å³/cell

abc: 5.6130 5.6130 15.5287
angles: 90.00 90.00 90.00
Space group I-42d (No. 122)
One atom of each set of equivalent atoms:
Y  0.0000  0.0000  0.0000 x4
Re  0.0000  0.0000  0.5000 x4
Te  0.1887  0.2500  0.6250 x8

---

# 7
An optimized crystal structure of Y2ReTe. Source: the Alexandria database, functional GGA-PBE.

Computed properties:
Raw formation energy: 0.64 eV per formula unit
ρ: 9.22 g/cm³
V: 354.0 Å³/cell

abc: 7.0741 7.0741 7.0741
angles: 90.00 90.00 90.00
Space group F-43m (No. 216)
One atom of each set of equivalent atoms:
Y  0.0000  0.0000  0.0000 x4
Y  0.2500  0.2500  0.2500 x4
Re  0.0000  0.0000  0.5000 x4
Te  0.2500  0.2500  0.7500 x4

---

# 8
An optimized crystal structure of YReTe2. Source: the Alexandria database, functional GGA-PBE.

Computed properties:
Energy above the lowest structure with this stoichiometry: 2.87 eV per formula unit
Raw formation energy: 1.94 eV per formula unit
ρ: 9.41 g/cm³
V: 374.3 Å³/cell

abc: 7.2068 7.2068 7.2068
angles: 90.00 90.00 90.00
Space group F-43m (No. 216)
One atom of each set of equivalent atoms:
Y  0.0000  0.0000  0.0000 x4
Re  0.2500  0.2500  0.2500 x4
Te  0.0000  0.0000  0.5000 x4
Te  0.2500  0.2500  0.7500 x4

---

# 9
An optimized crystal structure of YReTe2. Source: the Alexandria database, functional GGA-PBE.

Computed properties:
Energy above the lowest structure with this stoichiometry: 0.00 eV per formula unit
Raw formation energy: -0.93 eV per formula unit
ρ: 7.39 g/cm³
V: 238.3 Å³/cell

abc: 3.7557 4.7715 13.2986
angles: 90.00 90.00 90.00
Space group Immm (No. 71)
One atom of each set of equivalent atoms:
Y  0.0000  0.0000  0.0000 x2
Re  0.0000  0.0000  0.5000 x2
Te  0.0000  0.5000  0.1499 x4

---

# 10
An optimized crystal structure of ZnReTe2. Source: the Alexandria database, functional GGA-PBE.

Computed properties:
Raw formation energy: 1.25 eV per formula unit
ρ: 8.63 g/cm³
V: 195.0 Å³/cell

abc: 8.8930 3.4029 6.6017
angles: 90.00 102.52 90.00
Space group Cm (No. 8)
One atom of each set of equivalent atoms:
Zn  0.0000  0.0000  0.0000 x2
Re  0.2659  0.0000  0.9037 x2
Te  0.0572  0.5000  0.6632 x2
Te  0.2698  0.5000  0.2187 x2

---

# 11
An optimized crystal structure of ZnRe2Te. Source: the Alexandria database, functional GGA-PBE.

Computed properties:
Energy above the lowest structure with this stoichiometry: 1.00 eV per formula unit
Raw formation energy: 2.33 eV per formula unit
ρ: 14.26 g/cm³
V: 65.8 Å³/cell

abc: 3.0629 4.5254 4.7486
angles: 90.00 90.00 90.00
Space group Pmm2 (No. 25)
One atom of each set of equivalent atoms:
Zn  0.0000  0.0000  0.0000 x1
Re  0.0000  0.5000  0.6999 x1
Re  0.5000  0.0000  0.5149 x1
Te  0.5000  0.5000  0.1885 x1

---

# 12
An optimized crystal structure of ZnReTe2. Source: the Alexandria database, functional GGA-PBE.

Computed properties:
Raw formation energy: 1.69 eV per formula unit
ρ: 8.02 g/cm³
V: 314.7 Å³/cell

abc: 3.3494 3.3494 32.3862
angles: 90.00 90.00 120.00
Space group R-3m (No. 166, hexagonal axes)
One atom of each set of equivalent atoms:
Zn  0.0000  0.0000  0.0000 x3
Re  0.0000  0.0000  0.5000 x3
Te  0.0000  0.0000  0.1068 x6

---

# 13
An optimized crystal structure of ZnReTe2. Source: the Alexandria database, functional GGA-PBE.

Computed properties:
Raw formation energy: 3.02 eV per formula unit
ρ: 10.52 g/cm³
V: 160.0 Å³/cell

abc: 6.0803 7.6460 3.4414
angles: 90.00 90.12 90.00
Space group C2/m (No. 12)
One atom of each set of equivalent atoms:
Zn  0.0000  0.0000  0.0000 x2
Re  0.0000  0.5000  0.0000 x2
Te  0.2500  0.2500  0.5000 x4

---

# 14
An optimized crystal structure of Zn2ReTe. Source: the Alexandria database, functional GGA-PBE.

Computed properties:
Raw formation energy: 2.43 eV per formula unit
ρ: 10.82 g/cm³
V: 136.5 Å³/cell

abc: 4.1549 4.1549 7.9044
angles: 90.00 90.00 90.00
Space group I-4m2 (No. 119)
One atom of each set of equivalent atoms:
Zn  0.0000  0.0000  0.0000 x2
Zn  0.0000  0.5000  0.2500 x2
Re  0.0000  0.5000  0.7500 x2
Te  0.0000  0.0000  0.5000 x2

---

# 15
An optimized crystal structure of Zn2ReTe. Source: the Alexandria database, functional GGA-PBE.

Computed properties:
Raw formation energy: 1.97 eV per formula unit
ρ: 9.15 g/cm³
V: 80.7 Å³/cell

abc: 2.9278 2.9278 9.4119
angles: 90.00 90.00 90.00
Space group P4/mmm (No. 123)
One atom of each set of equivalent atoms:
Zn  0.0000  0.0000  0.1801 x2
Re  0.5000  0.5000  0.0000 x1
Te  0.5000  0.5000  0.5000 x1

---

# 16
An optimized crystal structure of ZnReTe2. Source: the Alexandria database, functional GGA-PBE.

Computed properties:
Raw formation energy: 1.16 eV per formula unit
ρ: 9.54 g/cm³
V: 88.2 Å³/cell

abc: 3.3482 3.3482 7.8696
angles: 90.00 90.00 90.00
Space group P4mm (No. 99)
One atom of each set of equivalent atoms:
Zn  0.0000  0.0000  0.0000 x1
Re  0.5000  0.5000  0.1695 x1
Te  0.0000  0.0000  0.3659 x1
Te  0.5000  0.5000  0.7990 x1

---

# 17
An optimized crystal structure of ZnRe2Te. Source: the Alexandria database, functional GGA-PBE.

Computed properties:
Energy above the lowest structure with this stoichiometry: 0.52 eV per formula unit
Raw formation energy: 1.85 eV per formula unit
ρ: 12.72 g/cm³
V: 221.4 Å³/cell

abc: 2.9148 2.9148 30.0967
angles: 90.00 90.00 120.00
Space group R3m (No. 160, hexagonal axes)
One atom of each set of equivalent atoms:
Zn  0.0000  0.0000  0.0000 x3
Re  0.0000  0.0000  0.4742 x3
Re  0.0000  0.0000  0.7400 x3
Te  0.0000  0.0000  0.2251 x3

---

# 18
An optimized crystal structure of ZnReTe2. Source: the Alexandria database, functional GGA-PBE.

Computed properties:
Raw formation energy: 2.00 eV per formula unit
ρ: 9.29 g/cm³
V: 181.2 Å³/cell

abc: 3.2099 4.3980 12.8382
angles: 90.00 90.00 90.00
Space group Imm2 (No. 44)
One atom of each set of equivalent atoms:
Zn  0.0000  0.0000  0.0000 x2
Re  0.0000  0.5000  0.7038 x2
Te  0.0000  0.0000  0.3714 x2
Te  0.0000  0.5000  0.1460 x2

---

# 19
An optimized crystal structure of ZnRe2Te. Source: the Alexandria database, functional GGA-PBE.

Computed properties:
Energy above the lowest structure with this stoichiometry: 1.76 eV per formula unit
Raw formation energy: 3.09 eV per formula unit
ρ: 12.37 g/cm³
V: 303.7 Å³/cell

abc: 4.0604 4.0604 18.4217
angles: 90.00 90.00 90.00
Space group I-42d (No. 122)
One atom of each set of equivalent atoms:
Zn  0.0000  0.0000  0.0000 x4
Re  0.1746  0.2500  0.1250 x8
Te  0.0000  0.0000  0.5000 x4

---

# 20
An optimized crystal structure of ZnReTe2. Source: the Alexandria database, functional GGA-PBE.

Computed properties:
Raw formation energy: 1.48 eV per formula unit
ρ: 8.81 g/cm³
V: 191.0 Å³/cell

abc: 7.3079 3.4531 7.6704
angles: 90.00 99.28 90.00
Space group C2/m (No. 12)
One atom of each set of equivalent atoms:
Zn  0.0000  0.0000  0.0000 x2
Re  0.0000  0.5000  0.5000 x2
Te  0.2288  0.0000  0.7048 x4